Nd2DyErAs4 | PBE | relaxed

crystal system: monoclinic

Lattice parameters (Å, degrees): 4.191 7.248 7.254 70.52 90.00 90.00
Element x y z (fractional)
Dy 0.000 0.500 0.500
Nd 0.500 0.000 0.500
Nd 0.000 0.000 0.000
As 0.500 0.260 0.748
As 0.500 0.740 0.252
As 0.000 0.261 0.245
As 0.000 0.739 0.755
Er 0.500 0.500 0.000

---

NdDy2ErAs4 | PBE | relaxed

crystal system: monoclinic

Lattice parameters (Å, degrees): 4.152 7.187 7.185 70.53 90.00 90.00
Element x y z (fractional)
As 0.000 0.244 0.257
As 0.500 0.248 0.745
As 0.500 0.752 0.255
As 0.000 0.756 0.743
Dy 0.500 0.000 0.500
Dy 0.000 0.000 0.000
Er 0.000 0.500 0.500
Nd 0.500 0.500 0.000

---

Nd3DyEr2As6 | PBE | relaxed

crystal system: monoclinic

Lattice parameters (Å, degrees): 7.249 7.249 7.243 99.59 99.59 119.99
Element x y z (fractional)
As 0.920 0.586 0.761
As 0.745 0.745 0.239
As 0.414 0.080 0.239
As 0.586 0.920 0.761
As 0.080 0.414 0.239
As 0.255 0.255 0.761
Nd 0.834 0.166 0.500
Nd 0.500 0.500 0.500
Nd 0.166 0.834 0.500
Er 0.667 0.333 0.000
Er 0.333 0.667 0.000
Dy 0.000 0.000 0.000

---

Nd2Dy3ErAs6 | PBE | relaxed

crystal system: monoclinic

Lattice parameters (Å, degrees): 4.168 8.329 9.312 102.92 102.93 90.00
Element x y z (fractional)
Er 0.500 0.000 0.000
As 0.997 0.247 0.995
As 0.335 0.411 0.671
As 0.666 0.076 0.331
As 0.665 0.589 0.329
As 0.003 0.753 0.005
As 0.334 0.924 0.669
Nd 0.166 0.332 0.331
Nd 0.834 0.668 0.669
Dy 0.833 0.166 0.666
Dy 0.500 0.500 0.000
Dy 0.167 0.834 0.334

---

DFT total energy readings, ordered: -6.176; -6.158; -6.172; -6.166 eV per atom
Volume readings, ordered: 25.97; 25.27; 25.90; 25.55 Å³ per atom